Entry from Alexandria via LeMat-Bulk: WO2 after structural relaxation (PBE+U).

Calculated values
Fermi-level density of states ... 1.1 states/eV per cell
Final energy ... -7.32 eV/atom
Crystal system ... orthorhombic
Magnetization ... 8.0 μB per cell

Structure (POSCAR):
```
WO2
1.0
5.2920 0.0069 0.0000
-4.3060 3.0763 0.0000
0.0000 0.0000 10.6210
O W
8 4
direct
0.5000 0.5000 0.5000
0.2403 0.7597 0.9042
0.2403 0.7597 0.5958
0.5000 0.5000 0.0000
0.0828 0.9172 0.2500
0.7597 0.2403 0.4042
0.9172 0.0828 0.7500
0.7597 0.2403 0.0958
0.8669 0.1331 0.9246
0.1331 0.8669 0.0754
0.8669 0.1331 0.5754
0.1331 0.8669 0.4246
```